Record 1
In2GaCoPb | Alexandria via LeMat-Bulk | PBE-GGA | relaxed; Fermi-level density of states = 0.680 states/eV/atom; calculated formation energy = 0.079 eV/atom; electronic total energy = -3.785 eV/atom; total magnetization = 0.000 μB per atom
1.0
5.026 0.000 0.000
0.000 5.026 0.000
0.000 0.000 4.637
In Ga Co Pb
2 1 1 1
direct
0.000 0.500 0.000
0.500 0.000 0.000
0.000 0.000 0.500
0.000 0.000 0.000
0.500 0.500 0.500

=====

Record 2
InGaCoPd | Alexandria via LeMat-Bulk | PBE-GGA | relaxed; Fermi-level density of states = 0.703 states/eV/atom; calculated formation energy = -0.186 eV/atom; electronic total energy = -4.702 eV/atom; total magnetization = 0.142 μB per atom
1.0
0.000 3.123 3.123
3.123 0.000 3.123
3.123 3.123 0.000
In Ga Co Pd
1 1 1 1
direct
0.000 0.000 0.000
0.500 0.500 0.500
0.250 0.250 0.250
0.750 0.750 0.750

=====

Record 3
RbInGaCo2 | Alexandria via LeMat-Bulk | PBE-GGA | relaxed; Fermi-level density of states = 1.216 states/eV/atom; calculated formation energy = 1.305 eV/atom; electronic total energy = -2.884 eV/atom; ΔE to the lowest computed polymorph = 0.0 meV per atom; total magnetization = 0.612 μB per atom
1.0
4.873 0.000 0.000
0.000 4.873 0.000
0.000 0.000 5.799
Rb In Ga Co
1 1 1 2
direct
0.000 0.000 0.000
0.000 0.000 0.500
0.500 0.500 0.000
0.000 0.500 0.500
0.500 0.000 0.500

=====

Record 4
RbInGaCo2 | Alexandria via LeMat-Bulk | PBE-GGA | relaxed; Fermi-level density of states = 1.509 states/eV/atom; calculated formation energy = 2.053 eV/atom; electronic total energy = -2.136 eV/atom; ΔE to the lowest computed polymorph = 748.3 meV per atom; total magnetization = 0.568 μB per atom
1.0
4.884 0.000 0.000
0.000 4.884 0.000
0.000 0.000 6.129
Rb In Ga Co
1 1 1 2
direct
0.000 0.000 0.000
0.000 0.000 0.500
0.500 0.500 0.500
0.000 0.500 0.000
0.500 0.000 0.000

=====

Record 5
InGaCoRh | Alexandria via LeMat-Bulk | PBE-GGA | relaxed; Fermi-level density of states = 0.668 states/eV/atom; calculated formation energy = -0.220 eV/atom; electronic total energy = -5.275 eV/atom; total magnetization = 0.046 μB per atom
1.0
0.000 3.086 3.086
3.086 0.000 3.086
3.086 3.086 0.000
In Ga Co Rh
1 1 1 1
direct
0.000 0.000 0.000
0.500 0.500 0.500
0.250 0.250 0.250
0.750 0.750 0.750

=====

Record 6
In2GaCoRu | Alexandria via LeMat-Bulk | PBE-GGA | relaxed; Fermi-level density of states = 0.885 states/eV/atom; calculated formation energy = 0.644 eV/atom; electronic total energy = -4.333 eV/atom; total magnetization = 0.403 μB per atom
1.0
4.836 0.000 0.000
0.000 4.836 0.000
0.000 0.000 4.427
In Ga Co Ru
2 1 1 1
direct
0.000 0.500 0.000
0.500 0.000 0.000
0.000 0.000 0.500
0.000 0.000 0.000
0.500 0.500 0.500

=====

- Among the records above, which one has the highest calculated formation energy?
  number 4

=====

- Which formula does entry 2 have?
  InGaCoPd

=====

- total magnetization of number 5 (InGaCoRh)?
  0.046 μB per atom